[1]
Below is GaSnB2Te after structural relaxation, with properties calculated at the PBE-GGA level.

abc: 4.3174 5.7794 4.3174
angles: 90.00 90.00 90.00
Closest atoms and distances in Å follow each position.
Sites, in units of the cell vectors:
B (0.0000, 0.0000, 0.5000)  2 Ga 2.16
B (0.5000, 0.0000, 0.0000)  2 Ga 2.16
Sn (0.5000, 0.5000, 0.5000)  4 Te 3.05
Ga (0.0000, 0.0000, 0.0000)  4 B 2.16
Te (0.0000, 0.5000, 0.0000)  2 Ga 2.89, 4 Sn 3.05

- final energy (eV/cell) = -17.2
- energy relative to the elements, uncorrected (meV/atom) = 1268

---

[2]
Below is Hf2MnAg after structural relaxation, with properties calculated at the PBE-GGA level.

abc: 4.6467 4.6467 4.6467
angles: 60.00 60.00 60.00
Closest atoms and distances in Å follow each position.
Sites, in units of the cell vectors:
Hf (0.7500, 0.7500, 0.7500)  4 Ag 2.85, 4 Mn 2.85
Hf (0.2500, 0.2500, 0.2500)  4 Mn 2.85, 4 Ag 2.85
Ag (0.5000, 0.5000, 0.5000)  8 Hf 2.85
Mn (0.0000, 0.0000, 0.0000)  8 Hf 2.85

- final energy (eV/cell) = -31.8
- energy above the most stable polymorph in this dataset (eV/atom) = 0.149

---

[3]
Below is Mn2AgTe after structural relaxation, with properties calculated at the PBE-GGA level.

abc: 3.5361 3.5361 5.9509
angles: 90.00 90.00 90.00
Closest atoms and distances in Å follow each position.
Sites, in units of the cell vectors:
Te (0.0000, 0.0000, 0.4626)  5 Mn 2.74-2.80
Ag (0.5000, 0.5000, 0.7852)  5 Mn 2.76-2.82
Mn (0.5000, 0.5000, 0.2494)  1 Ag 2.76, 4 Te 2.80, 4 Mn 2.90
Mn (0.0000, 0.0000, 0.0028)  1 Te 2.74, 4 Ag 2.82, 4 Mn 2.90

- final energy (eV/cell) = -23.3
- energy relative to the elements, uncorrected (meV/atom) = 263